## TlBr3 (PBE-GGA)

Data for a geometry-optimized TlBr3 structure.

Unit cell a=8.5239 b=8.5239 c=8.5239 alpha=36.73 beta=36.73 gamma=36.73
Positions (direct):
Tl  0.0000  0.0000  0.0000
Br  0.3922  0.3922  0.3922
Br  0.5000  0.5000  0.5000
Br  0.6078  0.6078  0.6078

## Properties
Calculated volume   49.592 Å³ per atom
Calculated total energy   -9.1 eV per cell
Magnetic moment   0.0 μB per formula unit
N(E_F)   0.000 states/eV/atom
Energy relative to the elements, uncorrected   -0.432 eV per atom